(1)
The following is a PBE calculation of Tb2Y2Te7 after structural relaxation, from the Alexandria database.

a b c (Å): 4.243 15.904 9.863
angles (deg): 90.00 90.00 90.00
Space group Imm2 (No. 44)
One atom of each set of equivalent atoms:
1 Tb 0.000 0.243 0.000
2 Y 0.000 0.000 0.226
3 Y 0.000 0.500 0.172
4 Te 0.000 0.000 0.906
5 Te 0.000 0.109 0.501
6 Te 0.000 0.324 0.300
7 Te 0.000 0.357 0.686

energy relative to the elements, uncorrected: -13.4 eV/f.u.
calculated density: 6930 kg/m³
DOS(E_F): 0.49 states/eV per atom
electronic total energy: -115.15 eV/cell

(2)
The following is a PBE calculation of Ac2Pr4Sn3Cl2 after structural relaxation, from the Alexandria database.

a b c (Å): 5.377 5.377 25.373
angles (deg): 90.00 90.00 90.00
Space group I4/mmm (No. 139)
One atom of each set of equivalent atoms:
1 Ac 0.000 0.000 0.200
2 Pr 0.000 0.500 0.085
3 Sn 0.000 0.000 0.333
4 Sn 0.000 0.000 0.500
5 Cl 0.000 0.000 0.065

energy relative to the elements, uncorrected: -9.5 eV/f.u.
calculated density: 6540 kg/m³
DOS(E_F): 1.05 states/eV per atom
electronic total energy: -105.12 eV/cell

(3)
The following is a PBE calculation of Tm4C2Br after structural relaxation, from the Alexandria database.

a b c (Å): 3.5916 3.5916 39.0554
angles (deg): 90.00 90.00 120.00
Space group R-3m (No. 166, hexagonal axes)
One atom of each set of equivalent atoms:
1 Tm 0.0000 0.0000 0.1245
2 Tm 0.0000 0.0000 0.2748
3 C 0.0000 0.0000 0.4219
4 Br 0.0000 0.0000 0.0000

energy relative to the elements, uncorrected: -4.8 eV/f.u.
calculated density: 8902 kg/m³
DOS(E_F): 0.61 states/eV per atom
electronic total energy: -128.42 eV/cell

(4)
The following is a PBE calculation of TbNpBi2 after structural relaxation, from the Alexandria database.

a b c (Å): 7.752 7.752 7.752
angles (deg): 90.00 90.00 90.00
Space group Fm-3m (No. 225)
One atom of each set of equivalent atoms:
1 Tb 0.000 0.000 0.000
2 Np 0.000 0.000 0.500
3 Bi 0.250 0.250 0.250

ΔE_f: -0.21 eV/atom
calculated density: 11605 kg/m³
DOS(E_F): 3.70 states/eV per atom
electronic total energy: -104.67 eV/cell
energy above the most stable polymorph in this dataset: 167 meV per atom